[1]
GGA-PBE SrZrHg2, optimized geometry; total magnetic moment = 0.87 μB per cell; DFT total energy = -10.9 eV/cell; formation energy from the elements = -0.026 eV per atom; volume = 105 Å³/f.u.
1.0
-1.779 2.657 5.579
1.779 -2.657 5.579
1.779 2.657 -5.579
Sr Zr Hg
1 1 2
direct
0.000 0.000 0.000
0.280 0.780 0.500
0.503 0.503 0.000
0.734 0.234 0.500

=====

[2]
GGA-PBE BaAl2Pt, optimized geometry; total magnetic moment = 0.49 μB per cell; DFT total energy = -18.3 eV/cell; formation energy from the elements = -0.716 eV per atom; volume = 101 Å³/f.u.
1.0
2.179 1.258 6.113
-2.179 1.258 6.113
0.000 -2.516 6.113
Ba Al Pt
1 2 1
direct
0.000 0.000 0.000
0.195 0.195 0.195
0.805 0.805 0.805
0.500 0.500 0.500

=====

What did the second record say?
GGA-PBE BaAl2Pt, optimized geometry; total magnetic moment = 0.49 μB per cell; DFT total energy = -18.3 eV/cell; formation energy from the elements = -0.716 eV per atom; volume = 101 Å³/f.u.
1.0
2.179 1.258 6.113
-2.179 1.258 6.113
0.000 -2.516 6.113
Ba Al Pt
1 2 1
direct
0.000 0.000 0.000
0.195 0.195 0.195
0.805 0.805 0.805
0.500 0.500 0.500

=====

- Which of these has the lowest total magnetic moment?
  BaAl2Pt